Entry 1:
# NaPuH2O4

A geometry-optimized NaPuH2O4 structure (PBE, Alexandria).

Calculated values
**Total energy**: -55.40 eV/cell

a b c (Å): 4.9679 4.8137 4.8137
angles (deg): 70.02 58.94 58.94
Last column: magnetic moment on the atom in μB.
Fractional coordinates of all 8 atoms:
Pu  0.5000  0.5000  0.5000  3.53
O  0.0120  0.4027  0.1633  -0.13
H  0.7848  0.7152  0.7152  0.00
O  0.5781  0.5973  0.8367  -0.13
O  0.4219  0.1633  0.4027  -0.13
H  0.2152  0.2848  0.2848  0.00
Na  0.0000  0.0000  0.0000  0.00
O  0.9880  0.8367  0.5973  -0.13

Entry 2:
# CoNi2PtSe8

A geometry-optimized CoNi2PtSe8 structure (PBE, Alexandria).

Calculated values
**Total energy**: -50.72 eV/cell
**Raw formation energy**: 0.155 eV/atom

a b c (Å): 7.8414 7.8414 7.8414
angles (deg): 103.39 103.39 122.47
Last column: magnetic moment on the atom in μB.
Fractional coordinates of all 12 atoms:
Se  0.0032  0.6376  0.6344  0.00
Ni  0.7500  0.2500  0.5000  -0.07
Se  0.5935  0.7379  0.8557  -0.03
Se  0.2621  0.1178  0.8557  -0.03
Se  0.2621  0.4065  0.1443  -0.03
Se  0.0032  0.3688  0.3656  0.00
Ni  0.5000  0.5000  0.0000  -0.06
Co  0.2500  0.7500  0.5000  0.36
Se  0.3624  0.9968  0.3656  0.00
Se  0.6312  0.9968  0.6344  0.00
Pt  0.0000  0.0000  0.0000  -0.03
Se  0.8822  0.7379  0.1443  -0.03

Q: total energy of number 2 (CoNi2PtSe8)?
A: -50.72 eV/cell